No. 1
# CsLiSi (PBE, optimized geometry)
# - formation energy (no corrections) (kJ/mol of atoms) = -2
# - relative energy among the computed polymorphs (kJ/mol of formula units) = 9
data_CsLiSi
_chemical_formula_sum 'Cs2 Li2 Si2'
_space_group_name_H-M_alt 'P 1'
_space_group_IT_number 1
_space_group_name_Hall 'P 1'
_cell_length_a 3.9749
_cell_length_b 4.9874
_cell_length_c 12.3087
_cell_angle_alpha 81.67
_cell_angle_beta 86.89
_cell_angle_gamma 66.69
loop_
_atom_site_label
_atom_site_type_symbol
_atom_site_fract_x
_atom_site_fract_y
_atom_site_fract_z
Cs1 Cs 0.6165 0.0824 0.9415
Li1 Li 0.2356 0.9280 0.7048
Si1 Si 0.4872 0.4543 0.6097
Li2 Li 0.7771 0.8904 0.5642
Cs2 Cs 0.0515 0.4120 0.3585
Si2 Si 0.9539 0.4812 0.7288

***

No. 2
# SbAsIr2 (PBE, optimized geometry)
# - formation energy (no corrections) (kJ/mol of atoms) = 57
# - relative energy among the computed polymorphs (kJ/mol of formula units) = 290
data_SbAsIr2
_chemical_formula_sum 'Sb1 As1 Ir2'
_space_group_name_H-M_alt 'P 1'
_space_group_IT_number 1
_space_group_name_Hall 'P 1'
_cell_length_a 4.6268
_cell_length_b 4.6268
_cell_length_c 4.6268
_cell_angle_alpha 60.00
_cell_angle_beta 60.00
_cell_angle_gamma 60.00
loop_
_atom_site_label
_atom_site_type_symbol
_atom_site_fract_x
_atom_site_fract_y
_atom_site_fract_z
Sb1 Sb 0.2500 0.2500 0.2500
As1 As 0.5000 0.5000 0.5000
Ir1 Ir 0.7500 0.7500 0.7500
Ir2 Ir 0.0000 0.0000 0.0000

***

No. 3
# Co2RePt (PBE, optimized geometry)
# - relative energy among the computed polymorphs (kJ/mol of formula units) = 45
# - ΔE_f (eV per atom) = 0.11
data_Co2RePt
_chemical_formula_sum 'Co2 Re1 Pt1'
_space_group_name_H-M_alt 'P 1'
_space_group_IT_number 1
_space_group_name_Hall 'P 1'
_cell_length_a 8.6417
_cell_length_b 8.6417
_cell_length_c 8.6417
_cell_angle_alpha 17.95
_cell_angle_beta 17.95
_cell_angle_gamma 17.95
loop_
_atom_site_label
_atom_site_type_symbol
_atom_site_fract_x
_atom_site_fract_y
_atom_site_fract_z
Co1 Co 0.2553 0.2553 0.2553
Co2 Co 0.9971 0.9971 0.9971
Pt1 Pt 0.5031 0.5031 0.5031
Re1 Re 0.7445 0.7445 0.7445